{
  "formula": "YReSe2N",
  "functional": "PBE",
  "state": "relaxed",
  "lattice": [[5.484, 0.000, 0.000], [0.000, 5.484, 0.000], [0.000, 0.000, 4.308]],
  "species": ["Y", "Re", "Se", "Se", "N"],
  "frac_coords": [[0.000, 0.000, 0.000], [0.500, 0.500, 0.500], [0.000, 0.500, 0.000], [0.500, 0.000, 0.000], [0.000, 0.000, 0.500]],
  "sg": "P4/mmm (123)",
  "n_ef_per_ev_atom": 0.6243,
  "m_tot_mub_per_atom": 0.596,
  "e_tot_ev_per_atom": -5.735,
  "de_polymorph_ev_per_atom": 1.521
}

{
  "formula": "YReSe2N",
  "functional": "PBE",
  "state": "relaxed",
  "lattice": [[5.130, 0.000, 0.000], [0.000, 5.130, 0.000], [0.000, 0.000, 3.771]],
  "species": ["Y", "Re", "Se", "Se", "N"],
  "frac_coords": [[0.000, 0.000, 0.000], [0.500, 0.500, 0.500], [0.000, 0.500, 0.500], [0.500, 0.000, 0.500], [0.500, 0.500, 0.000]],
  "sg": "P4/mmm (123)",
  "n_ef_per_ev_atom": 0.6457,
  "m_tot_mub_per_atom": 0.100,
  "e_tot_ev_per_atom": -7.255,
  "de_polymorph_ev_per_atom": 0.000
}

{
  "formula": "ZnReSe2N",
  "functional": "PBE",
  "state": "relaxed",
  "lattice": [[5.000, 0.000, 0.000], [0.000, 5.000, 0.000], [0.000, 0.000, 3.501]],
  "species": ["Zn", "Re", "Se", "Se", "N"],
  "frac_coords": [[0.000, 0.000, 0.000], [0.500, 0.500, 0.500], [0.000, 0.500, 0.000], [0.500, 0.000, 0.000], [0.000, 0.000, 0.500]],
  "sg": "P4/mmm (123)",
  "n_ef_per_ev_atom": 0.9564,
  "m_tot_mub_per_atom": 0.499,
  "e_tot_ev_per_atom": -4.274,
  "de_polymorph_ev_per_atom": 1.222
}